# PBE-GGA La5P3, optimized geometry
data_La5P3
_symmetry_space_group_name_H-M 'C m m m'
_symmetry_Int_Tables_number 65
_symmetry_space_group_name_Hall '-C 2 2'
_cell_length_a 8.103
_cell_length_b 11.759
_cell_length_c 4.542
_cell_angle_alpha 90.00
_cell_angle_beta 90.00
_cell_angle_gamma 90.00
loop_
_atom_site_label
_atom_site_type_symbol
_atom_site_fract_x
_atom_site_fract_y
_atom_site_fract_z
_atom_site_occupancy
La1 La 0.000 0.000 0.000 1
La2 La 0.222 0.500 0.500 1
La3 La 0.250 0.250 0.000 1
P1 P 0.000 0.180 0.500 1
P2 P 0.000 0.500 0.000 1
# * ΔH_f (0 K): -962 meV per atom
# * size of the total moment: 0.01 μB per formula unit
# * E above lowest polymorph: 136.9 meV per atom
# * total energy: -6.070 eV/atom